{"formula": "Ba2LaSb", "functional": "GGA-PBE", "state": "optimized geometry", "lattice": [[4.3242, 0.0000, 0.0000], [0.0000, 4.3242, 0.0000], [0.0000, 0.0000, 9.6695]], "species": ["Ba", "Ba", "La", "Sb"], "frac_coords": [[0.0000, 0.0000, 0.0000], [0.5000, 0.5000, 0.3686], [0.0000, 0.0000, 0.6431], [0.5000, 0.5000, 0.7755]], "dft_energy_ev_per_atom": -3.74, "raw_formation_energy_ev_per_fu": -2.08, "n_ef_per_ev_fu": 3.45, "sg": "No. 99"}